*1*
# Be2Fe2Si | Alexandria via LeMat-Bulk | PBE | relaxed
data_Be2Fe2Si
_chemical_formula_sum 'Be2 Fe2 Si1'
_symmetry_space_group_name_H-M 'P 1'
_symmetry_Int_Tables_number 1
_cell_length_a 3.8328
_cell_length_b 3.8328
_cell_length_c 4.2793
_cell_angle_alpha 113.72
_cell_angle_beta 113.72
_cell_angle_gamma 60.84
loop_
_symmetry_equiv_pos_as_xyz
'x,y,z'
loop_
_atom_site_label
_atom_site_type_symbol
_atom_site_fract_x
_atom_site_fract_y
_atom_site_fract_z
Be1 Be 0.0881 0.0881 0.2735
Be2 Be 0.9119 0.9119 0.7265
Fe1 Fe 0.2957 0.2957 0.8800
Fe2 Fe 0.7043 0.7043 0.1200
Si1 Si 0.5000 0.5000 0.5000
# SG   C2/m

*2*
# Be2Fe2Si | Alexandria via LeMat-Bulk | PBE | relaxed
data_Be2Fe2Si
_chemical_formula_sum 'Be4 Fe4 Si2'
_symmetry_space_group_name_H-M 'P 1'
_symmetry_Int_Tables_number 1
_cell_length_a 5.7576
_cell_length_b 5.7576
_cell_length_c 2.7489
_cell_angle_alpha 90.00
_cell_angle_beta 90.00
_cell_angle_gamma 90.00
loop_
_symmetry_equiv_pos_as_xyz
'x,y,z'
loop_
_atom_site_label
_atom_site_type_symbol
_atom_site_fract_x
_atom_site_fract_y
_atom_site_fract_z
Be1 Be 0.1221 0.3779 0.0000
Be2 Be 0.3779 0.8779 0.0000
Be3 Be 0.6221 0.1221 0.0000
Be4 Be 0.8779 0.6221 0.0000
Fe1 Fe 0.1750 0.6750 0.5000
Fe2 Fe 0.3250 0.1750 0.5000
Fe3 Fe 0.6750 0.8250 0.5000
Fe4 Fe 0.8250 0.3250 0.5000
Si1 Si 0.0000 0.0000 0.0000
Si2 Si 0.5000 0.5000 0.0000
# SG   P4/mbm

*3*
# Be2Fe2Si | Alexandria via LeMat-Bulk | PBE | relaxed
data_Be2Fe2Si
_chemical_formula_sum 'Be4 Fe4 Si2'
_symmetry_space_group_name_H-M 'P 1'
_symmetry_Int_Tables_number 1
_cell_length_a 5.8202
_cell_length_b 5.8202
_cell_length_c 2.9723
_cell_angle_alpha 90.00
_cell_angle_beta 90.00
_cell_angle_gamma 90.00
loop_
_symmetry_equiv_pos_as_xyz
'x,y,z'
loop_
_atom_site_label
_atom_site_type_symbol
_atom_site_fract_x
_atom_site_fract_y
_atom_site_fract_z
Be1 Be 0.1387 0.3613 0.0000
Be2 Be 0.3613 0.8613 0.0000
Be3 Be 0.6387 0.1387 0.0000
Be4 Be 0.8613 0.6387 0.0000
Fe1 Fe 0.1551 0.6551 0.5000
Fe2 Fe 0.3449 0.1551 0.5000
Fe3 Fe 0.6551 0.8449 0.5000
Fe4 Fe 0.8449 0.3449 0.5000
Si1 Si 0.0000 0.0000 0.5000
Si2 Si 0.5000 0.5000 0.5000
# SG   P4/mbm

Computed stability ranking, most favorable first: *2*, *3*, *1*

*1*
# BeFe3Si | Alexandria via LeMat-Bulk | PBE | relaxed
data_BeFe3Si
_chemical_formula_sum 'Be1 Fe3 Si1'
_symmetry_space_group_name_H-M 'P 1'
_symmetry_Int_Tables_number 1
_cell_length_a 3.8467
_cell_length_b 3.8467
_cell_length_c 3.8467
_cell_angle_alpha 90.00
_cell_angle_beta 90.00
_cell_angle_gamma 90.00
loop_
_symmetry_equiv_pos_as_xyz
'x,y,z'
loop_
_atom_site_label
_atom_site_type_symbol
_atom_site_fract_x
_atom_site_fract_y
_atom_site_fract_z
Be1 Be 0.0000 0.0000 0.0000
Fe1 Fe 0.0000 0.0000 0.5000
Fe2 Fe 0.0000 0.5000 0.0000
Fe3 Fe 0.5000 0.0000 0.0000
Si1 Si 0.5000 0.5000 0.5000
# SG   Pm-3m

*2*
# BeFe3Si | Alexandria via LeMat-Bulk | PBE | relaxed
data_BeFe3Si
_chemical_formula_sum 'Be4 Fe12 Si4'
_symmetry_space_group_name_H-M 'P 1'
_symmetry_Int_Tables_number 1
_cell_length_a 6.3508
_cell_length_b 6.3508
_cell_length_c 6.3508
_cell_angle_alpha 90.00
_cell_angle_beta 90.00
_cell_angle_gamma 90.00
loop_
_symmetry_equiv_pos_as_xyz
'x,y,z'
loop_
_atom_site_label
_atom_site_type_symbol
_atom_site_fract_x
_atom_site_fract_y
_atom_site_fract_z
Be1 Be 0.1219 0.1219 0.1219
Be2 Be 0.3781 0.8781 0.6219
Be3 Be 0.6219 0.3781 0.8781
Be4 Be 0.8781 0.6219 0.3781
Fe1 Fe 0.0889 0.3687 0.3430
Fe2 Fe 0.1313 0.6570 0.5889
Fe3 Fe 0.1570 0.9111 0.8687
Fe4 Fe 0.3430 0.0889 0.3687
Fe5 Fe 0.3687 0.3430 0.0889
Fe6 Fe 0.4111 0.6313 0.8430
Fe7 Fe 0.5889 0.1313 0.6570
Fe8 Fe 0.6313 0.8430 0.4111
Fe9 Fe 0.6570 0.5889 0.1313
Fe10 Fe 0.8430 0.4111 0.6313
Fe11 Fe 0.8687 0.1570 0.9111
Fe12 Fe 0.9111 0.8687 0.1570
Si1 Si 0.0359 0.5359 0.9641
Si2 Si 0.4641 0.4641 0.4641
Si3 Si 0.5359 0.9641 0.0359
Si4 Si 0.9641 0.0359 0.5359
# SG   P2_13

Computed stability ranking, most favorable first: *2*, *1*

*1*
# BeFeSn3 | Alexandria via LeMat-Bulk | PBE | relaxed
data_BeFeSn3
_chemical_formula_sum 'Be1 Fe1 Sn3'
_symmetry_space_group_name_H-M 'P 1'
_symmetry_Int_Tables_number 1
_cell_length_a 4.8758
_cell_length_b 4.8758
_cell_length_c 4.8758
_cell_angle_alpha 90.00
_cell_angle_beta 90.00
_cell_angle_gamma 90.00
loop_
_symmetry_equiv_pos_as_xyz
'x,y,z'
loop_
_atom_site_label
_atom_site_type_symbol
_atom_site_fract_x
_atom_site_fract_y
_atom_site_fract_z
Be1 Be 0.0000 0.0000 0.0000
Fe1 Fe 0.5000 0.5000 0.5000
Sn1 Sn 0.0000 0.0000 0.5000
Sn2 Sn 0.0000 0.5000 0.0000
Sn3 Sn 0.5000 0.0000 0.0000
# SG   Pm-3m

*2*
# BeFeSn3 | Alexandria via LeMat-Bulk | PBE | relaxed
data_BeFeSn3
_chemical_formula_sum 'Be1 Fe1 Sn3'
_symmetry_space_group_name_H-M 'P 1'
_symmetry_Int_Tables_number 1
_cell_length_a 4.8811
_cell_length_b 4.8811
_cell_length_c 4.8811
_cell_angle_alpha 90.00
_cell_angle_beta 90.00
_cell_angle_gamma 90.00
loop_
_symmetry_equiv_pos_as_xyz
'x,y,z'
loop_
_atom_site_label
_atom_site_type_symbol
_atom_site_fract_x
_atom_site_fract_y
_atom_site_fract_z
Be1 Be 0.0000 0.0000 0.0000
Fe1 Fe 0.5000 0.5000 0.5000
Sn1 Sn 0.0000 0.5000 0.5000
Sn2 Sn 0.5000 0.0000 0.5000
Sn3 Sn 0.5000 0.5000 0.0000
# SG   Pm-3m

Computed stability ranking, most favorable first: *2*, *1*

*1*
# BeFe3Sn | Alexandria via LeMat-Bulk | PBE | relaxed
data_BeFe3Sn
_chemical_formula_sum 'Be1 Fe3 Sn1'
_symmetry_space_group_name_H-M 'P 1'
_symmetry_Int_Tables_number 1
_cell_length_a 4.7361
_cell_length_b 4.7361
_cell_length_c 4.7361
_cell_angle_alpha 90.00
_cell_angle_beta 90.00
_cell_angle_gamma 90.00
loop_
_symmetry_equiv_pos_as_xyz
'x,y,z'
loop_
_atom_site_label
_atom_site_type_symbol
_atom_site_fract_x
_atom_site_fract_y
_atom_site_fract_z
Be1 Be 0.0000 0.0000 0.0000
Fe1 Fe 0.0000 0.5000 0.5000
Fe2 Fe 0.5000 0.0000 0.5000
Fe3 Fe 0.5000 0.5000 0.0000
Sn1 Sn 0.5000 0.5000 0.5000
# SG   Pm-3m

*2*
# BeFe3Sn | Alexandria via LeMat-Bulk | PBE | relaxed
data_BeFe3Sn
_chemical_formula_sum 'Be1 Fe3 Sn1'
_symmetry_space_group_name_H-M 'P 1'
_symmetry_Int_Tables_number 1
_cell_length_a 4.0657
_cell_length_b 4.0657
_cell_length_c 4.0657
_cell_angle_alpha 90.00
_cell_angle_beta 90.00
_cell_angle_gamma 90.00
loop_
_symmetry_equiv_pos_as_xyz
'x,y,z'
loop_
_atom_site_label
_atom_site_type_symbol
_atom_site_fract_x
_atom_site_fract_y
_atom_site_fract_z
Be1 Be 0.0000 0.0000 0.0000
Fe1 Fe 0.0000 0.0000 0.5000
Fe2 Fe 0.0000 0.5000 0.0000
Fe3 Fe 0.5000 0.0000 0.0000
Sn1 Sn 0.5000 0.5000 0.5000
# SG   Pm-3m

Computed stability ranking, most favorable first: *2*, *1*

*1*
# SrBe2Fe | Alexandria via LeMat-Bulk | PBE | relaxed
data_SrBe2Fe
_chemical_formula_sum 'Sr1 Be2 Fe1'
_symmetry_space_group_name_H-M 'P 1'
_symmetry_Int_Tables_number 1
_cell_length_a 4.4637
_cell_length_b 4.4637
_cell_length_c 4.4637
_cell_angle_alpha 60.00
_cell_angle_beta 60.00
_cell_angle_gamma 60.00
loop_
_symmetry_equiv_pos_as_xyz
'x,y,z'
loop_
_atom_site_label
_atom_site_type_symbol
_atom_site_fract_x
_atom_site_fract_y
_atom_site_fract_z
Sr1 Sr 0.0000 0.0000 0.0000
Be1 Be 0.2500 0.2500 0.2500
Be2 Be 0.7500 0.7500 0.7500
Fe1 Fe 0.5000 0.5000 0.5000
# SG   Fm-3m

*2*
# SrBe2Fe | Alexandria via LeMat-Bulk | PBE | relaxed
data_SrBe2Fe
_chemical_formula_sum 'Sr1 Be2 Fe1'
_symmetry_space_group_name_H-M 'P 1'
_symmetry_Int_Tables_number 1
_cell_length_a 2.9995
_cell_length_b 2.9995
_cell_length_c 6.7318
_cell_angle_alpha 90.00
_cell_angle_beta 90.00
_cell_angle_gamma 90.00
loop_
_symmetry_equiv_pos_as_xyz
'x,y,z'
loop_
_atom_site_label
_atom_site_type_symbol
_atom_site_fract_x
_atom_site_fract_y
_atom_site_fract_z
Sr1 Sr 0.0000 0.0000 0.0000
Be1 Be 0.5000 0.5000 0.3474
Be2 Be 0.5000 0.5000 0.6526
Fe1 Fe 0.0000 0.0000 0.5000
# SG   P4/mmm

*3*
# SrBe2Fe | Alexandria via LeMat-Bulk | PBE | relaxed
data_SrBe2Fe
_chemical_formula_sum 'Sr1 Be2 Fe1'
_symmetry_space_group_name_H-M 'P 1'
_symmetry_Int_Tables_number 1
_cell_length_a 5.2707
_cell_length_b 5.2707
_cell_length_c 5.2707
_cell_angle_alpha 146.67
_cell_angle_beta 121.64
_cell_angle_gamma 68.89
loop_
_symmetry_equiv_pos_as_xyz
'x,y,z'
loop_
_atom_site_label
_atom_site_type_symbol
_atom_site_fract_x
_atom_site_fract_y
_atom_site_fract_z
Sr1 Sr 0.0000 0.0000 0.0000
Be1 Be 0.3177 0.8177 0.5000
Be2 Be 0.6823 0.1823 0.5000
Fe1 Fe 0.5000 0.5000 0.0000
# SG   Immm

*4*
# SrBe2Fe | Alexandria via LeMat-Bulk | PBE | relaxed
data_SrBe2Fe
_chemical_formula_sum 'Sr1 Be2 Fe1'
_symmetry_space_group_name_H-M 'P 1'
_symmetry_Int_Tables_number 1
_cell_length_a 4.9124
_cell_length_b 4.9124
_cell_length_c 4.9124
_cell_angle_alpha 134.99
_cell_angle_beta 112.07
_cell_angle_gamma 85.26
loop_
_symmetry_equiv_pos_as_xyz
'x,y,z'
loop_
_atom_site_label
_atom_site_type_symbol
_atom_site_fract_x
_atom_site_fract_y
_atom_site_fract_z
Sr1 Sr 0.0000 0.0000 0.0000
Be1 Be 0.5171 0.5171 0.0000
Be2 Be 0.6539 0.1539 0.5000
Fe1 Fe 0.3537 0.8537 0.5000
# SG   Imm2

Computed stability ranking, most favorable first: *2*, *4*, *3*, *1*

*1*
# SrBeFe3 | Alexandria via LeMat-Bulk | PBE | relaxed
data_SrBeFe3
_chemical_formula_sum 'Sr1 Be1 Fe3'
_symmetry_space_group_name_H-M 'P 1'
_symmetry_Int_Tables_number 1
_cell_length_a 4.6979
_cell_length_b 4.6979
_cell_length_c 4.6979
_cell_angle_alpha 90.00
_cell_angle_beta 90.00
_cell_angle_gamma 90.00
loop_
_symmetry_equiv_pos_as_xyz
'x,y,z'
loop_
_atom_site_label
_atom_site_type_symbol
_atom_site_fract_x
_atom_site_fract_y
_atom_site_fract_z
Sr1 Sr 0.0000 0.0000 0.0000
Be1 Be 0.5000 0.5000 0.5000
Fe1 Fe 0.0000 0.0000 0.5000
Fe2 Fe 0.0000 0.5000 0.0000
Fe3 Fe 0.5000 0.0000 0.0000
# SG   Pm-3m

*2*
# SrBeFe3 | Alexandria via LeMat-Bulk | PBE | relaxed
data_SrBeFe3
_chemical_formula_sum 'Sr1 Be1 Fe3'
_symmetry_space_group_name_H-M 'P 1'
_symmetry_Int_Tables_number 1
_cell_length_a 4.2783
_cell_length_b 4.2783
_cell_length_c 4.2783
_cell_angle_alpha 90.00
_cell_angle_beta 90.00
_cell_angle_gamma 90.00
loop_
_symmetry_equiv_pos_as_xyz
'x,y,z'
loop_
_atom_site_label
_atom_site_type_symbol
_atom_site_fract_x
_atom_site_fract_y
_atom_site_fract_z
Sr1 Sr 0.0000 0.0000 0.0000
Be1 Be 0.5000 0.5000 0.5000
Fe1 Fe 0.0000 0.5000 0.5000
Fe2 Fe 0.5000 0.0000 0.5000
Fe3 Fe 0.5000 0.5000 0.0000
# SG   Pm-3m

Computed stability ranking, most favorable first: *2*, *1*

*1*
# TaBeFe | Alexandria via LeMat-Bulk | PBE | relaxed
data_TaBeFe
_chemical_formula_sum 'Ta1 Be1 Fe1'
_symmetry_space_group_name_H-M 'P 1'
_symmetry_Int_Tables_number 1
_cell_length_a 3.8437
_cell_length_b 3.8437
_cell_length_c 3.8437
_cell_angle_alpha 60.00
_cell_angle_beta 60.00
_cell_angle_gamma 60.00
loop_
_symmetry_equiv_pos_as_xyz
'x,y,z'
loop_
_atom_site_label
_atom_site_type_symbol
_atom_site_fract_x
_atom_site_fract_y
_atom_site_fract_z
Ta1 Ta 0.0000 0.0000 0.0000
Be1 Be 0.2500 0.2500 0.2500
Fe1 Fe 0.5000 0.5000 0.5000
# SG   F-43m

*2*
# TaBeFe | Alexandria via LeMat-Bulk | PBE | relaxed
data_TaBeFe
_chemical_formula_sum 'Ta2 Be2 Fe2'
_symmetry_space_group_name_H-M 'P 1'
_symmetry_Int_Tables_number 1
_cell_length_a 4.6712
_cell_length_b 4.6712
_cell_length_c 4.6712
_cell_angle_alpha 119.91
_cell_angle_beta 118.74
_cell_angle_gamma 91.18
loop_
_symmetry_equiv_pos_as_xyz
'x,y,z'
loop_
_atom_site_label
_atom_site_type_symbol
_atom_site_fract_x
_atom_site_fract_y
_atom_site_fract_z
Ta1 Ta 0.3751 0.1251 0.2500
Ta2 Ta 0.6249 0.8749 0.7500
Be1 Be 0.0000 0.0000 0.5000
Be2 Be 0.0000 0.5000 0.0000
Fe1 Fe 0.0000 0.5000 0.5000
Fe2 Fe 0.5000 0.5000 0.0000
# SG   Imma

*3*
# TaBeFe | Alexandria via LeMat-Bulk | PBE | relaxed
data_TaBeFe
_chemical_formula_sum 'Ta6 Be6 Fe6'
_symmetry_space_group_name_H-M 'P 1'
_symmetry_Int_Tables_number 1
_cell_length_a 11.8052
_cell_length_b 11.8052
_cell_length_c 11.8052
_cell_angle_alpha 23.06
_cell_angle_beta 23.06
_cell_angle_gamma 23.06
loop_
_symmetry_equiv_pos_as_xyz
'x,y,z'
loop_
_atom_site_label
_atom_site_type_symbol
_atom_site_fract_x
_atom_site_fract_y
_atom_site_fract_z
Ta1 Ta 0.0414 0.0414 0.0414
Ta2 Ta 0.1806 0.1806 0.1806
Ta3 Ta 0.2651 0.2651 0.2651
Ta4 Ta 0.7349 0.7349 0.7349
Ta5 Ta 0.8194 0.8194 0.8194
Ta6 Ta 0.9586 0.9586 0.9586
Be1 Be 0.0000 0.5000 0.5000
Be2 Be 0.3867 0.3867 0.3867
Be3 Be 0.5000 0.0000 0.5000
Be4 Be 0.5000 0.5000 0.0000
Be5 Be 0.5000 0.5000 0.5000
Be6 Be 0.6133 0.6133 0.6133
Fe1 Fe 0.2227 0.7230 0.7230
Fe2 Fe 0.2770 0.2770 0.7773
Fe3 Fe 0.2770 0.7773 0.2770
Fe4 Fe 0.7230 0.2227 0.7230
Fe5 Fe 0.7230 0.7230 0.2227
Fe6 Fe 0.7773 0.2770 0.2770
# SG   R-3m

Computed stability ranking, most favorable first: *3*, *2*, *1*

*1*
# Ta4BeFe | Alexandria via LeMat-Bulk | PBE | relaxed
data_Ta4BeFe
_chemical_formula_sum 'Ta4 Be1 Fe1'
_symmetry_space_group_name_H-M 'P 1'
_symmetry_Int_Tables_number 1
_cell_length_a 5.3435
_cell_length_b 5.3435
_cell_length_c 5.3435
_cell_angle_alpha 60.00
_cell_angle_beta 60.00
_cell_angle_gamma 60.00
loop_
_symmetry_equiv_pos_as_xyz
'x,y,z'
loop_
_atom_site_label
_atom_site_type_symbol
_atom_site_fract_x
_atom_site_fract_y
_atom_site_fract_z
Ta1 Ta 0.1248 0.1248 0.1248
Ta2 Ta 0.1248 0.1248 0.6256
Ta3 Ta 0.1248 0.6256 0.1248
Ta4 Ta 0.6256 0.1248 0.1248
Be1 Be 0.7500 0.7500 0.7500
Fe1 Fe 0.5000 0.5000 0.5000
# SG   F-43m

*2*
# Ta4BeFe | Alexandria via LeMat-Bulk | PBE | relaxed
data_Ta4BeFe
_chemical_formula_sum 'Ta4 Be1 Fe1'
_symmetry_space_group_name_H-M 'P 1'
_symmetry_Int_Tables_number 1
_cell_length_a 4.9779
_cell_length_b 4.9779
_cell_length_c 4.9779
_cell_angle_alpha 103.74
_cell_angle_beta 103.74
_cell_angle_gamma 121.65
loop_
_symmetry_equiv_pos_as_xyz
'x,y,z'
loop_
_atom_site_label
_atom_site_type_symbol
_atom_site_fract_x
_atom_site_fract_y
_atom_site_fract_z
Ta1 Ta 0.0877 0.5877 0.1754
Ta2 Ta 0.4123 0.9123 0.8246
Ta3 Ta 0.5877 0.4123 0.5000
Ta4 Ta 0.9123 0.0877 0.5000
Be1 Be 0.0000 0.0000 0.0000
Fe1 Fe 0.5000 0.5000 0.0000
# SG   I422

Computed stability ranking, most favorable first: *2*, *1*